1.
VASP calculation (PBE-GGA) on Tm6BiPb3 after structural relaxation.

Cell: 11.3123 4.4118 12.6280 Å, 90.00 101.81 90.00°
Space group P2_1/m (No. 11)
Asymmetric unit:
1 Tm 0.0401 0.2500 0.3647 [2 per cell]
2 Tm 0.0516 0.2500 0.8857 [2 per cell]
3 Tm 0.2621 0.7500 0.3120 [2 per cell]
4 Tm 0.2802 0.7500 0.7645 [2 per cell]
5 Tm 0.3815 0.2500 0.5430 [2 per cell]
6 Tm 0.4012 0.7500 0.0954 [2 per cell]
7 Bi 0.4627 0.2500 0.3023 [2 per cell]
8 Pb 0.1482 0.2500 0.1407 [2 per cell]
9 Pb 0.1757 0.7500 0.5214 [2 per cell]
10 Pb 0.3312 0.2500 0.9266 [2 per cell]

Calculated values
density of states at the Fermi level: 19.93 states/eV per cell
total magnetic moment: 1.25 μB/f.u.
electronic total energy: -89.548 eV/cell
ΔE_f: -2.94 eV/f.u.


2.
VASP calculation (PBE-GGA) on Tm3Bi5Pb12 after structural relaxation.

Cell: 18.3004 18.3004 18.3004 Å, 90.00 90.00 90.00°
Space group Ia-3d (No. 230)
Asymmetric unit:
1 Tm 0.0000 0.2500 0.1250 [24 per cell]
2 Bi 0.0000 0.0000 0.0000 [16 per cell]
3 Bi 0.0000 0.2500 0.3750 [24 per cell]
4 Pb 0.0179 0.0843 0.6517 [96 per cell]

Calculated values
density of states at the Fermi level: 111.80 states/eV per cell
total magnetic moment: 0.00 μB/f.u.
electronic total energy: -593.801 eV/cell
ΔE_f: 3.09 eV/f.u.


3.
VASP calculation (PBE-GGA) on TmBi2Pb after structural relaxation.

Cell: 7.8924 7.8924 7.8924 Å, 90.00 90.00 90.00°
Space group Fm-3m (No. 225)
Asymmetric unit:
1 Tm 0.0000 0.0000 0.0000 [4 per cell]
2 Bi 0.2500 0.2500 0.2500 [8 per cell]
3 Pb 0.0000 0.0000 0.5000 [4 per cell]

Calculated values
density of states at the Fermi level: 7.27 states/eV per cell
total magnetic moment: 0.00 μB/f.u.
electronic total energy: -66.838 eV/cell
energy above the lowest structure with this stoichiometry: 41 kJ/mol of formula units
ΔE_f: -0.77 eV/f.u.


4.
VASP calculation (PBE-GGA) on TmBi2Pb after structural relaxation.

Cell: 4.2069 4.2069 6.8068 Å, 90.00 90.00 90.00°
Space group P4/mmm (No. 123)
Asymmetric unit:
1 Tm 0.0000 0.0000 0.0000 [1 per cell]
2 Bi 0.5000 0.5000 0.2325 [2 per cell]
3 Pb 0.0000 0.0000 0.5000 [1 per cell]

Calculated values
density of states at the Fermi level: 3.16 states/eV per cell
total magnetic moment: 0.00 μB/f.u.
electronic total energy: -17.130 eV/cell
energy above the lowest structure with this stoichiometry: 0 kJ/mol of formula units
ΔE_f: -1.19 eV/f.u.


5.
VASP calculation (PBE-GGA) on TmBiPb2 after structural relaxation.

Cell: 3.4828 3.4828 36.7552 Å, 90.00 90.00 120.00°
Space group R-3m (No. 166, hexagonal axes)
Asymmetric unit:
1 Tm 0.0000 0.0000 0.0000 [3 per cell]
2 Bi 0.0000 0.0000 0.5000 [3 per cell]
3 Pb 0.0000 0.0000 0.0857 [6 per cell]

Calculated values
density of states at the Fermi level: 8.85 states/eV per cell
total magnetic moment: 0.00 μB/f.u.
electronic total energy: -45.469 eV/cell
ΔE_f: 0.61 eV/f.u.


6.
VASP calculation (PBE-GGA) on Tm4BiPb after structural relaxation.

Cell: 8.5789 13.3732 6.4303 Å, 90.00 108.07 90.00°
Space group C2/c (No. 15)
Asymmetric unit:
1 Tm 0.0903 0.1975 0.0498 [8 per cell]
2 Tm 0.1986 0.3967 0.3965 [8 per cell]
3 Bi 0.0000 0.3958 0.7500 [4 per cell]
4 Pb 0.0000 0.0040 0.7500 [4 per cell]

Calculated values
density of states at the Fermi level: 28.51 states/eV per cell
total magnetic moment: 0.00 μB/f.u.
electronic total energy: -110.566 eV/cell
energy above the lowest structure with this stoichiometry: 0 kJ/mol of formula units
ΔE_f: -2.17 eV/f.u.


- What is the electronic total energy in the first record?
  -89.548 eV/cell